No. 1
Material: RbCa2Se
Method: DFT, PBE-GGA
State: optimized geometry

Cell lengths 11.825, 11.825, 11.825 Å; angles 20.09, 20.09, 20.09 degrees
Fractional positions:
Rb 0.000 0.000 0.000
Ca 0.116 0.116 0.116
Ca 0.884 0.884 0.884
Se 0.500 0.500 0.500

## Properties
* total moment: 0.000 μB per cell
* E_form (uncorrected): -0.787 eV per atom
* SG: R-3m, No. 166

No. 2
Material: Ce6HC2O3
Method: DFT, PBE-GGA
State: optimized geometry

Cell lengths 6.241, 6.241, 6.158 Å; angles 99.83, 99.83, 119.96 degrees
Fractional positions:
Ce 0.074 0.416 0.747
Ce 0.243 0.243 0.259
Ce 0.416 0.074 0.747
Ce 0.584 0.926 0.253
Ce 0.757 0.757 0.741
Ce 0.926 0.584 0.253
H 0.500 0.500 0.000
C 0.166 0.834 0.000
C 0.834 0.166 0.000
O 0.000 0.000 0.500
O 0.328 0.672 0.500
O 0.672 0.328 0.500

## Properties
* total moment: 0.000 μB per cell
* SG: C2/m, No. 12
* DFT total energy: -91.29 eV per cell

No. 3
Material: In2WSe
Method: DFT, PBE-GGA
State: optimized geometry

Cell lengths 5.260, 5.260, 3.018 Å; angles 90.00, 90.00, 105.59 degrees
Fractional positions:
In 0.000 0.500 0.000
In 0.500 0.000 0.000
W 0.000 0.000 0.500
Se 0.500 0.500 0.500

## Properties
* total moment: 0.000 μB per cell
* E_form (uncorrected): 0.512 eV per atom
* SG: Cmmm, No. 65

No. 4
Material: Tb2Tm5Sc2
Method: DFT, PBE-GGA
State: optimized geometry

Cell lengths 11.505, 11.505, 11.505 Å; angles 152.73, 58.27, 129.57 degrees
Fractional positions:
Tb 0.000 0.000 0.000
Tb 0.410 0.160 0.250
Tb 0.500 0.000 0.500
Tb 0.590 0.840 0.750
Tm 0.030 0.867 0.163
Tm 0.193 0.443 0.750
Tm 0.204 0.867 0.337
Tm 0.250 0.639 0.611
Tm 0.472 0.361 0.111
Tm 0.528 0.639 0.889
Tm 0.750 0.361 0.389
Tm 0.796 0.133 0.663
Tm 0.807 0.557 0.250
Tm 0.970 0.133 0.837
Sc 0.111 0.660 0.451
Sc 0.291 0.340 0.951
Sc 0.709 0.660 0.049
Sc 0.889 0.340 0.549

## Properties
* total moment: 0.002 μB per cell
* formation enthalpy at 0 K: 0.130 eV/atom
* energy above the lowest structure with this stoichiometry: 0.044 eV/atom
* SG: Imma, No. 74

- Look up the total moment of the third one.
  0.000 μB per cell

- Number 4 is which compound?
  Tb2Tm5Sc2

- Number 4 is which compound?
  Tb2Tm5Sc2